# 1
A plane-wave DFT calculation with GGA-PBE was carried out for an optimized crystal structure of B5C3.

Cell lengths 4.7175, 4.8695, 2.7196 Å; angles 90.00, 90.00, 109.98 degrees
Sites, in units of the cell vectors:
1 B 0.9876 0.4987 0.5000
2 B 0.3799 0.6168 0.5000
3 B 0.9197 0.0175 0.0000
4 B 0.3132 0.9321 0.0000
5 B 0.6166 0.6001 0.0000
6 C 0.9553 0.6943 0.0000
7 C 0.4892 0.9944 0.5000
8 C 0.8386 0.1461 0.5000

Space group: Pm (6)
Excess energy over the best structure of this formula in the dataset, meV/atom: 211.5
Formation energy from the elements, eV/atom: 0.481

---

# 2
A plane-wave DFT calculation with GGA-PBE was carried out for an optimized crystal structure of CeSc2PaC4.

Cell lengths 3.5386, 5.9158, 6.0965 Å; angles 70.88, 90.00, 90.00 degrees
Sites, in units of the cell vectors:
1 Ce 0.5000 0.5000 0.0000
2 Sc 0.0000 0.0000 0.0000
3 Sc 0.5000 0.0000 0.5000
4 Pa 0.0000 0.5000 0.5000
5 C 0.0000 0.7524 0.7337
6 C 0.0000 0.2476 0.2663
7 C 0.5000 0.7518 0.2518
8 C 0.5000 0.2482 0.7482

Space group: P2/m (10)
Formation energy from the elements, eV/atom: -0.253